Material: ZrZn2Au2
Method: DFT, PBE-GGA
State: relaxed

Structure (POSCAR):
```
ZrZn2Au2
1.0
7.758 0.000 0.000
0.000 7.758 0.000
0.000 0.000 2.937
Zr Zn Au
2 4 4
Direct
0.000 0.000 0.000
0.500 0.500 0.000
0.166 0.334 0.500
0.334 0.834 0.500
0.666 0.166 0.500
0.834 0.666 0.500
0.133 0.633 0.000
0.367 0.133 0.000
0.633 0.867 0.000
0.867 0.367 0.000
```

M_tot: 0.00 μB/cell
symmetry: P4/mbm
ΔE_f: -0.210 eV/atom